No. 1
DFT (PBE-GGA) results for a relaxed structure of Nd2TlRh3O8.

Cell lengths 6.6427, 6.6427, 16.1750 Å; angles 90.00, 90.00, 120.00 degrees
Space group R3m (No. 160, hexagonal axes)
Unique sites:
Nd  0.0000  0.0000  0.0000 (multiplicity 3)
Nd  0.0000  0.0000  0.3756 (multiplicity 3)
Tl  0.0000  0.0000  0.7559 (multiplicity 3)
Rh  0.1692  0.3383  0.2117 (multiplicity 9)
O  0.0000  0.0000  0.1493 (multiplicity 3)
O  0.0000  0.0000  0.6010 (multiplicity 3)
O  0.0435  0.5218  0.1479 (multiplicity 9)
O  0.1787  0.3574  0.9456 (multiplicity 9)

## Properties
**Calculated density**: 7492 kg/m³
**Volume**: 618.1 Å³ per cell
**Total energy**: -284.325 eV per cell
**E_form (uncorrected)**: -1.51 eV per atom



No. 2
DFT (PBE-GGA) results for a relaxed structure of Nd2TlRhO5.

Cell lengths 6.909, 6.909, 5.862 Å; angles 90.00, 90.00, 90.00 degrees
Space group P4/mbm (No. 127)
Unique sites:
Nd  0.177  0.323  0.000 (multiplicity 4)
Tl  0.000  0.000  0.500 (multiplicity 2)
Rh  0.000  0.500  0.500 (multiplicity 2)
O  0.000  0.000  0.000 (multiplicity 2)
O  0.131  0.631  0.244 (multiplicity 8)

## Properties
**Calculated density**: 8020 kg/m³
**Volume**: 279.8 Å³ per cell
**Total energy**: -124.855 eV per cell
**E_form (uncorrected)**: -2.04 eV per atom
**Fermi-level density of states**: 9.3 states/eV/cell



No. 3
DFT (PBE-GGA) results for a relaxed structure of Nd2TlRhO6.

Cell lengths 5.625, 6.039, 9.790 Å; angles 90.00, 123.73, 90.00 degrees
Space group P2_1/c (No. 14)
Unique sites:
Nd  0.223  0.074  0.250 (multiplicity 4)
Tl  0.500  0.000  0.000 (multiplicity 2)
Rh  0.000  0.000  0.500 (multiplicity 2)
O  0.100  0.207  0.929 (multiplicity 4)
O  0.238  0.683  0.937 (multiplicity 4)
O  0.366  0.055  0.733 (multiplicity 4)

## Properties
**Calculated density**: 8306 kg/m³
**Volume**: 276.6 Å³ per cell
**Total energy**: -138.112 eV per cell
**E_form (uncorrected)**: -2.01 eV per atom



No. 4
DFT (PBE-GGA) results for a relaxed structure of NdRuO4.

Cell lengths 7.693, 5.487, 7.565 Å; angles 90.00, 101.01, 90.00 degrees
Space group P2_1/c (No. 14)
Unique sites:
Nd  0.153  0.218  0.401 (multiplicity 4)
Ru  0.342  0.731  0.206 (multiplicity 4)
O  0.118  0.520  0.174 (multiplicity 4)
O  0.178  0.504  0.629 (multiplicity 4)
O  0.337  0.646  0.952 (multiplicity 4)
O  0.453  0.072  0.801 (multiplicity 4)

## Properties
**Calculated density**: 6554 kg/m³
**Volume**: 313.5 Å³ per cell
**Total energy**: -182.041 eV per cell
**E_form (uncorrected)**: -1.94 eV per atom
**Fermi-level density of states**: 13.7 states/eV/cell



Q: The lowest calculated density belongs to which entry?
A: NdRuO4



Q: The highest calculated density belongs to which entry?
A: Nd2TlRhO6